Below is crystalline PaSn5 at its relaxed geometry, with properties calculated at the PBE level.

As for the formation energy: -9.1 kJ/mol of atoms. For the calculated volume, the calculation gives 26.1 Å³/atom. The symmetry is No. 65. The density of states at the Fermi level is 0.891 states/eV per atom. The excess energy over the best structure of this formula in the dataset is 0 meV/atom. For the energy, the calculation gives -30.08 eV for the cell shown.

abc: 4.3427 4.8053 7.8826
angles: 107.75 90.00 90.00
With the nearest neighbours (Å) after each atom.
Atoms (fractional coordinates):
Sn1 0.5000 0.8272 0.6545  10 Sn 3.25-3.54, 2 Pa 3.38
Sn2 0.0000 0.3463 0.6927  8 Sn 3.17-3.39, 2 Pa 3.33
Sn3 0.5000 0.5000 0.0000  8 Sn 3.17-3.54, 4 Pa 3.24
Sn4 0.5000 0.1728 0.3455  10 Sn 3.25-3.54, 2 Pa 3.38
Sn5 0.0000 0.6537 0.3073  8 Sn 3.17-3.39, 2 Pa 3.33
Pa1 0.0000 0.0000 0.0000  12 Sn 3.24-3.38